Entry 1:
V5Ru | PBE | optimized geometry

## Properties
Spin magnetization = 0.00 μB per formula unit
VASP energy = -9.36 eV per atom
Excess energy over the best structure of this formula in the dataset = 0.013 eV/atom
Energy relative to the elements = -0.21 eV per atom

Geometry as POSCAR:
```
V5Ru
1.0
2.135 -6.314 0.000
2.135 6.314 0.000
0.000 0.000 2.984
V Ru
5 1
Direct
0.000 0.000 0.000
0.167 0.833 0.500
0.332 0.668 0.000
0.668 0.332 0.000
0.833 0.167 0.500
0.500 0.500 0.500
```

***

Entry 2:
VRu | PBE | optimized geometry

## Properties
Spin magnetization = 0.00 μB per formula unit
VASP energy = -9.01 eV per atom
Energy relative to the elements = 0.18 eV per atom

Geometry as POSCAR:
```
VRu
1.0
6.947 0.000 0.000
-3.473 6.016 0.000
0.000 0.000 4.373
V Ru
6 6
Direct
0.069 0.272 0.250
0.203 0.931 0.250
0.272 0.203 0.750
0.728 0.797 0.250
0.797 0.069 0.750
0.931 0.728 0.750
0.104 0.460 0.750
0.355 0.896 0.750
0.460 0.355 0.250
0.540 0.645 0.750
0.645 0.104 0.250
0.896 0.540 0.250
```

***

Entry 3:
VRu | PBE | optimized geometry

## Properties
Spin magnetization = 0.00 μB per formula unit
VASP energy = -9.31 eV per atom
Energy relative to the elements = -0.11 eV per atom

Geometry as POSCAR:
```
VRu
1.0
9.969 0.000 0.000
0.000 4.394 0.000
0.000 0.000 5.056
V Ru
8 8
Direct
0.058 0.250 0.087
0.185 0.750 0.281
0.315 0.250 0.781
0.442 0.750 0.587
0.558 0.250 0.413
0.685 0.750 0.219
0.815 0.250 0.719
0.942 0.750 0.913
0.072 0.250 0.588
0.184 0.750 0.799
0.316 0.250 0.299
0.428 0.750 0.088
0.572 0.250 0.912
0.684 0.750 0.701
0.816 0.250 0.201
0.928 0.750 0.412
```

***

Entry 4:
V5Ru | PBE | optimized geometry

## Properties
Spin magnetization = 0.00 μB per formula unit
VASP energy = -9.37 eV per atom
Excess energy over the best structure of this formula in the dataset = 0.000 eV/atom
Energy relative to the elements = -0.22 eV per atom

Geometry as POSCAR:
```
V5Ru
1.0
2.120 -4.503 0.000
2.120 4.503 0.000
0.000 0.000 4.209
V Ru
5 1
Direct
0.000 0.000 0.000
0.164 0.836 0.500
0.331 0.669 0.000
0.669 0.331 0.000
0.836 0.164 0.500
0.500 0.500 0.500
```

***

Entry 5:
V5Ru6 | PBE | optimized geometry

## Properties
Spin magnetization = 0.00 μB per formula unit
VASP energy = -9.38 eV per atom
Energy relative to the elements = -0.17 eV per atom

Geometry as POSCAR:
```
V5Ru6
1.0
-2.109 2.957 6.283
2.109 -2.957 6.283
2.109 2.957 -6.283
V Ru
5 6
Direct
0.000 0.000 0.000
0.160 0.660 0.500
0.333 0.333 0.000
0.667 0.667 0.000
0.840 0.340 0.500
0.087 0.833 0.254
0.260 0.500 0.760
0.421 0.167 0.254
0.579 0.833 0.746
0.740 0.500 0.240
0.913 0.167 0.746
```

***

Entry 6:
V4RuW2 | PBE | optimized geometry

## Properties
Spin magnetization = 0.00 μB per formula unit
VASP energy = -10.13 eV per atom
Energy relative to the elements = 0.10 eV per atom

Geometry as POSCAR:
```
V4RuW2
1.0
1.492 -11.451 0.000
1.492 11.451 0.000
0.000 0.000 2.990
V Ru W
4 1 2
Direct
0.067 0.933 0.000
0.368 0.632 0.500
0.632 0.368 0.500
0.933 0.067 0.000
0.500 0.500 0.500
0.202 0.798 0.000
0.798 0.202 0.000
```

***

Entry 7:
VRuW2 | PBE | optimized geometry

## Properties
Spin magnetization = 0.00 μB per formula unit
VASP energy = -10.32 eV per atom
Excess energy over the best structure of this formula in the dataset = 0.746 eV/atom
Energy relative to the elements = 0.75 eV per atom

Geometry as POSCAR:
```
VRuW2
1.0
-3.540 3.540 2.598
3.540 -3.540 2.598
3.540 3.540 -2.598
V Ru W
2 2 4
Direct
0.000 0.000 0.000
0.750 0.250 0.500
0.250 0.750 0.500
0.500 0.500 0.000
0.135 0.625 0.010
0.375 0.385 0.510
0.615 0.125 0.990
0.875 0.865 0.490
```

***

Entry 8:
VRu4W | PBE | optimized geometry

## Properties
Spin magnetization = 0.00 μB per formula unit
VASP energy = -9.88 eV per atom
Energy relative to the elements = -0.02 eV per atom

Geometry as POSCAR:
```
VRu4W
1.0
8.450 0.000 0.000
0.000 2.745 0.000
0.000 0.000 7.358
V Ru W
2 8 2
Direct
0.250 0.000 0.176
0.750 0.000 0.824
0.000 0.000 0.000
0.021 0.500 0.324
0.250 0.500 0.865
0.479 0.500 0.324
0.500 0.000 0.000
0.521 0.500 0.676
0.750 0.500 0.135
0.979 0.500 0.676
0.250 0.000 0.544
0.750 0.000 0.456
```

***

Entry 9:
V7Ru3W2 | PBE | optimized geometry

## Properties
Spin magnetization = 0.00 μB per formula unit
VASP energy = -9.63 eV per atom
Energy relative to the elements = 0.17 eV per atom

Geometry as POSCAR:
```
V7Ru3W2
1.0
2.121 -10.332 0.000
2.121 10.332 0.000
0.000 0.000 4.195
V Ru W
7 3 2
Direct
0.000 0.000 0.000
0.074 0.926 0.500
0.286 0.714 0.000
0.429 0.571 0.000
0.571 0.429 0.000
0.714 0.286 0.000
0.926 0.074 0.500
0.352 0.648 0.500
0.500 0.500 0.500
0.648 0.352 0.500
0.146 0.854 0.000
0.854 0.146 0.000
```

***

Entry 10:
V2Ru2W | PBE | optimized geometry

## Properties
Spin magnetization = 0.00 μB per formula unit
VASP energy = -9.94 eV per atom
Excess energy over the best structure of this formula in the dataset = 0.000 eV/atom
Energy relative to the elements = 0.01 eV per atom

Geometry as POSCAR:
```
V2Ru2W
1.0
7.134 0.000 0.000
0.000 7.134 0.000
0.000 0.000 2.831
V Ru W
4 4 2
Direct
0.148 0.352 0.000
0.352 0.852 0.000
0.648 0.148 0.000
0.852 0.648 0.000
0.153 0.653 0.500
0.347 0.153 0.500
0.653 0.847 0.500
0.847 0.347 0.500
0.000 0.000 0.000
0.500 0.500 0.000
```